4
Lattice="4.114 0.000 0.000 0.000 4.114 0.000 0.000 0.000 7.001" Properties=species:S:1:pos:R:3 comment="CeTh2In (PBE-GGA, relaxed)" ef_kj_per_mol_atoms=-7 energy_ev_per_atom=-5.947 dos_at_fermi_per_ev_cell=6.68 m_tot_mub_per_fu=0.00 polymorph_energy_mev_per_atom=91.8 pbc="T T T"
Ce 0.000 0.000 0.000
Th 2.057 2.057 1.810
Th 2.057 2.057 5.190
In 0.000 0.000 3.500



12
Lattice="4.805 0.000 0.000 0.000 4.805 0.000 0.000 0.000 14.526" Properties=species:S:1:pos:R:3 comment="Ce9ThIn2 (PBE-GGA, relaxed)" ef_kj_per_mol_atoms=-11 energy_ev_per_atom=-5.639 dos_at_fermi_per_ev_cell=33.34 m_tot_mub_per_fu=6.80 pbc="T T T"
Ce 0.000 0.000 0.000
Ce 0.000 0.000 4.868
Ce 0.000 0.000 9.658
Ce 0.000 2.403 2.438
Ce 0.000 2.403 7.263
Ce 0.000 2.403 12.089
Ce 2.403 0.000 2.438
Ce 2.403 0.000 7.263
Ce 2.403 0.000 12.089
Th 2.403 2.403 0.000
In 2.403 2.403 4.851
In 2.403 2.403 9.676



12
Lattice="5.491 0.000 0.000 0.000 3.285 0.000 -0.076 0.000 18.423" Properties=species:S:1:pos:R:3 comment="Ce7Th2In3 (PBE-GGA, relaxed)" ef_kj_per_mol_atoms=-5 energy_ev_per_atom=-5.431 dos_at_fermi_per_ev_cell=30.33 m_tot_mub_per_fu=2.22 pbc="T T T"
Ce 0.000 0.000 0.000
Ce 1.240 1.643 3.289
Ce 1.473 1.643 9.877
Ce 1.457 0.000 15.898
Ce 3.958 0.000 2.525
Ce 3.942 1.643 8.546
Ce 4.175 1.643 15.135
Th 1.465 1.643 12.942
Th 3.951 1.643 5.481
In 1.207 0.000 6.860
In 2.746 1.643 0.000
In 4.208 0.000 11.563



8
Lattice="7.501 -2.597 0.000 7.501 2.597 0.000 -1.337 0.000 5.633" Properties=species:S:1:pos:R:3 comment="Ce4ThIn3 (PBE-GGA, relaxed)" ef_kj_per_mol_atoms=-15 energy_ev_per_atom=-5.079 dos_at_fermi_per_ev_cell=17.89 m_tot_mub_per_fu=1.95 polymorph_energy_mev_per_atom=33.4 pbc="T T T"
Ce 2.098 0.000 0.406
Ce 2.913 0.000 4.142
Ce 10.751 0.000 1.491
Ce 11.566 0.000 5.227
Th -0.668 0.000 2.817
In 5.102 0.000 1.802
In 7.501 0.000 0.000
In 8.562 0.000 3.831



10
Lattice="4.172 0.000 0.000 0.000 4.172 0.000 0.000 0.000 17.083" Properties=species:S:1:pos:R:3 comment="Ce4Th5In (PBE-GGA, relaxed)" ef_kj_per_mol_atoms=5 energy_ev_per_atom=-6.306 dos_at_fermi_per_ev_cell=23.41 m_tot_mub_per_fu=0.00 polymorph_energy_mev_per_atom=0.0 pbc="T T T"
Ce 0.000 0.000 1.827
Ce 0.000 0.000 4.999
Ce 0.000 0.000 12.084
Ce 0.000 0.000 15.255
Th 2.086 2.086 0.000
Th 2.086 2.086 3.400
Th 2.086 2.086 6.865
Th 2.086 2.086 10.217
Th 2.086 2.086 13.683
In 0.000 0.000 8.541



6
Lattice="4.179 0.000 0.000 0.000 4.179 0.000 0.000 0.000 9.686" Properties=species:S:1:pos:R:3 comment="Ce2ThIn3 (PBE-GGA, relaxed)" ef_kj_per_mol_atoms=-28 energy_ev_per_atom=-4.877 dos_at_fermi_per_ev_cell=13.04 m_tot_mub_per_fu=2.00 polymorph_energy_mev_per_atom=0.0 pbc="T T T"
Ce 0.000 0.000 1.544
Ce 0.000 0.000 8.142
Th 0.000 0.000 4.843
In 2.090 2.090 0.000
In 2.090 2.090 3.200
In 2.090 2.090 6.487



3
Lattice="5.411 0.000 0.000 -2.706 4.686 0.000 0.000 0.000 3.226" Properties=species:S:1:pos:R:3 comment="CeThIn (PBE-GGA, relaxed)" ef_kj_per_mol_atoms=-4 energy_ev_per_atom=-5.407 dos_at_fermi_per_ev_cell=6.11 m_tot_mub_per_fu=0.75 polymorph_energy_mev_per_atom=115.1 pbc="T T T"
Ce 0.000 0.000 0.000
Th 0.000 3.124 0.000
In 2.706 1.562 1.613



18
Lattice="5.720 -4.476 0.000 5.720 4.476 0.000 -3.001 0.000 11.783" Properties=species:S:1:pos:R:3 comment="Ce3Th5In (PBE-GGA, relaxed)" ef_kj_per_mol_atoms=42 energy_ev_per_atom=-5.972 dos_at_fermi_per_ev_cell=41.65 m_tot_mub_per_fu=1.58 pbc="T T T"
Ce 0.000 0.000 0.000
Ce -1.500 0.000 5.892
Ce 1.301 0.000 6.672
Ce 2.469 0.000 9.160
Ce 5.970 0.000 2.624
Ce 7.138 0.000 5.111
Th 3.268 2.784 2.590
Th 2.875 0.000 0.583
Th 5.720 1.712 0.000
Th 5.171 2.784 9.193
Th 3.637 0.000 4.371
Th 4.802 0.000 7.412
Th 3.268 -2.784 2.590
Th 5.720 -1.712 0.000
Th 5.564 0.000 11.200
Th 5.171 -2.784 9.193
In 0.564 0.000 3.241
In 7.875 0.000 8.543



14
Lattice="3.851 -5.441 0.000 3.851 5.441 0.000 0.000 0.000 10.571" Properties=species:S:1:pos:R:3 comment="Ce2Th4In (PBE-GGA, relaxed)" ef_kj_per_mol_atoms=14 energy_ev_per_atom=-6.182 dos_at_fermi_per_ev_cell=28.20 m_tot_mub_per_fu=0.00 pbc="T T T"
Ce 3.845 3.244 0.000
Ce 3.857 3.244 5.286
Ce 3.845 -3.244 5.286
Ce 3.857 -3.244 0.000
Th 1.925 2.721 2.639
Th 1.925 2.721 7.932
Th 2.172 -0.004 0.000
Th 2.172 0.004 5.286
Th 1.925 -2.721 2.646
Th 1.925 -2.721 7.925
Th 5.529 0.004 0.000
Th 5.529 -0.004 5.286
In 0.000 0.000 2.643
In 0.000 0.000 7.928



4
Lattice="3.485 0.000 0.000 0.000 3.485 0.000 0.000 0.000 9.457" Properties=species:S:1:pos:R:3 comment="Ce2ThIn (PBE-GGA, relaxed)" ef_kj_per_mol_atoms=-14 energy_ev_per_atom=-5.654 dos_at_fermi_per_ev_cell=9.03 m_tot_mub_per_fu=0.81 polymorph_energy_mev_per_atom=22.9 pbc="T T T"
Ce 0.000 0.000 2.292
Ce 0.000 0.000 7.165
Th 1.743 1.743 4.728
In 1.743 1.743 0.000



4
Lattice="4.805 0.000 0.000 0.000 4.805 0.000 0.000 0.000 4.946" Properties=species:S:1:pos:R:3 comment="Ce2ThIn (PBE-GGA, relaxed)" ef_kj_per_mol_atoms=-16 energy_ev_per_atom=-5.677 dos_at_fermi_per_ev_cell=11.02 m_tot_mub_per_fu=1.64 polymorph_energy_mev_per_atom=0.0 pbc="T T T"
Ce 0.000 2.402 0.000
Ce 2.402 0.000 0.000
Th 0.000 0.000 2.473
In 2.402 2.402 2.473



12
Lattice="4.992 0.000 0.000 0.000 9.146 0.000 -2.481 0.000 7.658" Properties=species:S:1:pos:R:3 comment="CeTh6In5 (PBE-GGA, relaxed)" ef_kj_per_mol_atoms=-20 energy_ev_per_atom=-5.554 dos_at_fermi_per_ev_cell=15.82 m_tot_mub_per_fu=0.00 pbc="T T T"
Ce 0.000 0.000 0.000
Th 0.004 2.242 2.577
Th 0.004 6.904 2.577
Th 2.496 2.342 0.000
Th 2.496 6.804 0.000
Th 2.507 2.242 5.081
Th 2.507 6.904 5.081
In 0.000 4.573 0.000
In 0.010 4.573 5.015
In 0.012 0.000 5.243
In 2.499 0.000 2.415
In 2.501 4.573 2.643